VAgPtO4: relaxed, PBE+U.

Values from the calculation:
Energy in eV per atom: -6.058
D(E_F) in states/eV per atom: 0.44

a b c (Å): 5.5983 5.7081 11.4321
angles (deg): 90.00 90.00 90.00
Space group Imma (No. 74)
Asymmetric unit:
V 0.0000 0.0000 0.0000 [4 per cell]
Ag 0.0000 0.2500 0.3406 [4 per cell]
Pt 0.2500 0.2500 0.7500 [4 per cell]
O 0.0000 0.0287 0.8210 [8 per cell]
O 0.2215 0.2500 0.0136 [8 per cell]

=====

V2AgPtO8: relaxed, PBE+U.

Values from the calculation:
Energy in eV per atom: -6.347
D(E_F) in states/eV per atom: 0.74

a b c (Å): 5.6454 5.6454 6.3866
angles (deg): 90.00 90.00 120.00
Space group P-3m1 (No. 164)
Asymmetric unit:
V 0.3333 0.6667 0.2294 [2 per cell]
Ag 0.0000 0.0000 0.0000 [1 per cell]
Pt 0.0000 0.0000 0.5000 [1 per cell]
O 0.1572 0.3144 0.3050 [6 per cell]
O 0.3333 0.6667 0.9734 [2 per cell]

=====

AgPtWO6: relaxed, PBE+U.

Values from the calculation:
Energy in eV per atom: -6.061
D(E_F) in states/eV per atom: 0.58

a b c (Å): 5.2825 5.2825 9.8126
angles (deg): 90.00 90.00 120.00
Space group P-31c (No. 163)
Asymmetric unit:
Ag 0.0000 0.0000 0.0000 [2 per cell]
Pt 0.3333 0.6667 0.2500 [2 per cell]
W 0.3333 0.6667 0.7500 [2 per cell]
O 0.0089 0.3750 0.6392 [12 per cell]